Record 1
The following is a DFT calculation (GGA-PBE) of an optimized crystal structure of Ge.

Lattice parameters (Å, degrees): 4.0546 4.0546 6.6813 90.00 90.00 120.00
Positions (direct):
Ge (0.3333, 0.6667, 0.0628)
Ge (0.3333, 0.6667, 0.4372)
Ge (0.6667, 0.3333, 0.5628)
Ge (0.6667, 0.3333, 0.9372)

total magnetization = 0.000 Bohr magnetons per cell
volume = 23.8 Å³/f.u.
symmetry = P6_3/mmc (194)
ΔE_f = 0.014 eV/atom
distance to the lowest polymorph of the same formula = 14 meV per atom



Record 2
The following is a DFT calculation (GGA-PBE) of an optimized crystal structure of Ge.

Lattice parameters (Å, degrees): 3.9083 3.9083 6.2177 90.00 90.00 120.00
Positions (direct):
Ge (0.0000, 0.0000, 0.0000)
Ge (0.0000, 0.0000, 0.5000)
Ge (0.3333, 0.6667, 0.2500)
Ge (0.6667, 0.3333, 0.7500)

total magnetization = 0.000 Bohr magnetons per cell
volume = 20.6 Å³/f.u.
symmetry = P6_3/mmc (194)
ΔE_f = 0.262 eV/atom
distance to the lowest polymorph of the same formula = 262 meV per atom



Record 3
The following is a DFT calculation (GGA-PBE) of an optimized crystal structure of Ge.

Lattice parameters (Å, degrees): 6.0151 6.0151 7.0979 90.00 90.00 90.00
Positions (direct):
Ge (0.0878, 0.0878, 0.0000)
Ge (0.1291, 0.6716, 0.0031)
Ge (0.1716, 0.3709, 0.2531)
Ge (0.3284, 0.8709, 0.4969)
Ge (0.3709, 0.1716, 0.7469)
Ge (0.4122, 0.5878, 0.7500)
Ge (0.5878, 0.4122, 0.2500)
Ge (0.6291, 0.8284, 0.2469)
Ge (0.6716, 0.1291, 0.9969)
Ge (0.8284, 0.6291, 0.7531)
Ge (0.8709, 0.3284, 0.5031)
Ge (0.9122, 0.9122, 0.5000)

total magnetization = 0.000 Bohr magnetons per cell
volume = 21.4 Å³/f.u.
symmetry = P4_32_12 (96)
ΔE_f = 0.142 eV/atom
distance to the lowest polymorph of the same formula = 142 meV per atom



Record 4
The following is a DFT calculation (GGA-PBE) of an optimized crystal structure of Ge.

Lattice parameters (Å, degrees): 2.9234 2.9234 5.2089 90.00 90.00 120.00
Positions (direct):
Ge (0.3333, 0.6667, 0.2500)
Ge (0.6667, 0.3333, 0.7500)

total magnetization = 0.000 Bohr magnetons per cell
volume = 19.3 Å³/f.u.
symmetry = P6_3/mmc (194)
ΔE_f = 0.335 eV/atom
distance to the lowest polymorph of the same formula = 335 meV per atom



Record 5
The following is a DFT calculation (GGA-PBE) of an optimized crystal structure of Ge.

Lattice parameters (Å, degrees): 7.7721 7.7721 7.7721 93.98 93.98 149.46
Positions (direct):
Ge (0.1171, 0.2859, 0.4030)
Ge (0.1171, 0.7141, 0.8312)
Ge (0.2859, 0.1171, 0.4030)
Ge (0.2859, 0.8829, 0.1688)
Ge (0.7141, 0.1171, 0.8312)
Ge (0.7141, 0.8829, 0.5970)
Ge (0.8829, 0.2859, 0.1688)
Ge (0.8829, 0.7141, 0.5970)

total magnetization = 0.000 Bohr magnetons per cell
volume = 28.8 Å³/f.u.
symmetry = I4/mmm (139)
ΔE_f = 0.190 eV/atom
distance to the lowest polymorph of the same formula = 190 meV per atom



Record 6
The following is a DFT calculation (GGA-PBE) of an optimized crystal structure of Ge.

Lattice parameters (Å, degrees): 5.5638 5.3322 4.1270 70.75 64.80 44.45
Positions (direct):
Ge (0.2460, 0.2460, 0.7540)
Ge (0.2572, 0.7428, 0.2572)
Ge (0.7428, 0.2572, 0.7428)
Ge (0.7540, 0.7540, 0.2460)

total magnetization = 0.000 Bohr magnetons per cell
volume = 19.4 Å³/f.u.
symmetry = Fmmm (69)
ΔE_f = 0.240 eV/atom
distance to the lowest polymorph of the same formula = 240 meV per atom



Record 7
The following is a DFT calculation (GGA-PBE) of an optimized crystal structure of Ge.

Lattice parameters (Å, degrees): 2.9133 2.9133 2.9133 109.47 109.47 109.47
Positions (direct):
Ge (0.0000, 0.0000, 0.0000)

total magnetization = 0.000 Bohr magnetons per cell
volume = 19.0 Å³/f.u.
symmetry = Im-3m (229)
ΔE_f = 0.353 eV/atom
distance to the lowest polymorph of the same formula = 353 meV per atom



Record 8
The following is a DFT calculation (GGA-PBE) of an optimized crystal structure of Ge.

Lattice parameters (Å, degrees): 6.9534 6.9534 6.9534 110.79 110.79 106.87
Positions (direct):
Ge (0.2142, 0.4642, 0.4283)
Ge (0.2142, 0.7858, 0.7500)
Ge (0.4642, 0.2142, 0.9283)
Ge (0.4642, 0.5358, 0.2500)
Ge (0.5358, 0.4642, 0.7500)
Ge (0.5358, 0.7858, 0.0717)
Ge (0.7858, 0.2142, 0.2500)
Ge (0.7858, 0.5358, 0.5717)

total magnetization = 0.000 Bohr magnetons per cell
volume = 32.3 Å³/f.u.
symmetry = I4_1/amd (141)
ΔE_f = 0.281 eV/atom
distance to the lowest polymorph of the same formula = 281 meV per atom



Record 9
The following is a DFT calculation (GGA-PBE) of an optimized crystal structure of Ge.

Lattice parameters (Å, degrees): 4.0665 4.0665 4.0665 60.00 60.00 60.00
Positions (direct):
Ge (0.1250, 0.1250, 0.1250)
Ge (0.8750, 0.8750, 0.8750)

total magnetization = 0.000 Bohr magnetons per cell
volume = 23.8 Å³/f.u.
symmetry = Fd-3m (227)
ΔE_f = 0.000 eV/atom
distance to the lowest polymorph of the same formula = 0 meV per atom



Record 10
The following is a DFT calculation (GGA-PBE) of an optimized crystal structure of Ge.

Lattice parameters (Å, degrees): 4.1695 4.1695 4.1695 128.94 128.94 75.10
Positions (direct):
Ge (0.1905, 0.1905, 0.0000)
Ge (0.8095, 0.8095, 0.0000)

total magnetization = 0.000 Bohr magnetons per cell
volume = 21.3 Å³/f.u.
symmetry = I4/mmm (139)
ΔE_f = 0.216 eV/atom
distance to the lowest polymorph of the same formula = 216 meV per atom



Record 11
The following is a DFT calculation (GGA-PBE) of an optimized crystal structure of Ge.

Lattice parameters (Å, degrees): 5.3790 5.3790 5.3790 98.23 98.23 135.55
Positions (direct):
Ge (0.1786, 0.1786, 0.3571)
Ge (0.1786, 0.8214, 0.0000)
Ge (0.8214, 0.1786, 0.0000)
Ge (0.8214, 0.8214, 0.6429)

total magnetization = 0.000 Bohr magnetons per cell
volume = 25.2 Å³/f.u.
symmetry = I4/mmm (139)
ΔE_f = 0.081 eV/atom
distance to the lowest polymorph of the same formula = 81 meV per atom



Record 12
The following is a DFT calculation (GGA-PBE) of an optimized crystal structure of Ge.

Lattice parameters (Å, degrees): 5.7735 5.6759 3.9332 71.25 68.58 40.17
Positions (direct):
Ge (0.2263, 0.2263, 0.7737)
Ge (0.2710, 0.7290, 0.2710)
Ge (0.7290, 0.2710, 0.7290)
Ge (0.7737, 0.7737, 0.2263)

total magnetization = 0.000 Bohr magnetons per cell
volume = 19.3 Å³/f.u.
symmetry = Fmmm (69)
ΔE_f = 0.232 eV/atom
distance to the lowest polymorph of the same formula = 232 meV per atom